1.
## ZrInAg (PBE)

Data for a geometry-optimized ZrInAg structure.

Unit cell a=15.8158 b=3.0610 c=5.4031 alpha=90.00 beta=105.94 gamma=90.00
Fractional coordinates of all 12 atoms:
Zr1 0.0773 0.0000 0.2900
Zr2 0.4227 0.5000 0.7100
Zr3 0.5773 0.5000 0.2900
Zr4 0.9227 0.0000 0.7100
In1 0.1008 0.5000 0.8095
In2 0.3992 0.0000 0.1905
In3 0.6008 0.0000 0.8095
In4 0.8992 0.5000 0.1905
Ag1 0.2462 0.5000 0.2680
Ag2 0.2538 0.0000 0.7320
Ag3 0.7462 0.0000 0.2680
Ag4 0.7538 0.5000 0.7320

* E: -4.857 eV per atom
* space group: C2/m
* density: 8.29 Mg/m³
* DFT formation energy: -0.145 eV/atom
* Fermi-level density of states: 0.76 states/eV/atom
* crystal system: monoclinic


2.
## PmPrRhAu (PBE)

Data for a geometry-optimized PmPrRhAu structure.

Unit cell a=7.2689 b=7.2689 c=7.2689 alpha=90.00 beta=90.00 gamma=90.00
Fractional coordinates of all 16 atoms:
Pm1 0.0000 0.0000 0.0000
Pm2 0.0000 0.5000 0.5000
Pm3 0.5000 0.0000 0.5000
Pm4 0.5000 0.5000 0.0000
Pr1 0.0000 0.0000 0.5000
Pr2 0.0000 0.5000 0.0000
Pr3 0.5000 0.0000 0.0000
Pr4 0.5000 0.5000 0.5000
Rh1 0.2500 0.2500 0.2500
Rh2 0.2500 0.7500 0.7500
Rh3 0.7500 0.2500 0.7500
Rh4 0.7500 0.7500 0.2500
Au1 0.2500 0.2500 0.7500
Au2 0.2500 0.7500 0.2500
Au3 0.7500 0.2500 0.2500
Au4 0.7500 0.7500 0.7500

* E: -5.723 eV per atom
* space group: F-43m
* density: 10.13 Mg/m³
* DFT formation energy: -0.683 eV/atom
* Fermi-level density of states: 1.06 states/eV/atom
* ΔE to the lowest computed polymorph: 0.071 eV/atom
* crystal system: cubic


3.
## EuYCd (PBE)

Data for a geometry-optimized EuYCd structure.

Unit cell a=5.4013 b=5.4013 c=3.6292 alpha=90.00 beta=90.00 gamma=120.00
Fractional coordinates of all 3 atoms:
Eu1 0.0000 0.0000 0.0000
Y1 0.3333 0.6667 0.4284
Cd1 0.6667 0.3333 0.6700

* E: -5.942 eV per atom
* space group: P3m1
* density: 6.40 Mg/m³
* DFT formation energy: -0.058 eV/atom
* Fermi-level density of states: 1.09 states/eV/atom
* ΔE to the lowest computed polymorph: 0.120 eV/atom
* crystal system: trigonal